Run P
DFT (meta-GGA SCAN) results for a PBEsol-optimized structure of Be2ZnIn.

abc: 4.695 4.695 4.695
angles: 132.37 132.37 69.64
Positions (direct):
Be  0.000  0.000  0.000
Be  0.750  0.250  0.500
Zn  0.250  0.750  0.500
In  0.500  0.500  0.000

## Properties
Crystal system   tetragonal

Run Q
DFT (meta-GGA SCAN) results for a PBEsol-optimized structure of Be2ZnIn.

abc: 3.165 3.664 4.883
angles: 90.00 90.00 90.00
Positions (direct):
Be  0.000  0.000  0.000
Be  0.500  0.500  0.245
Zn  0.500  0.500  0.786
In  0.000  0.000  0.491

## Properties
Crystal system   orthorhombic

Run R
DFT (meta-GGA SCAN) results for a PBEsol-optimized structure of Be2ZnIn.

abc: 4.113 4.113 5.086
angles: 99.55 99.55 42.65
Positions (direct):
Be  0.000  0.000  0.000
Be  0.729  0.729  0.130
Zn  0.468  0.468  0.337
In  0.241  0.241  0.690

## Properties
Crystal system   monoclinic

Energy comparison, zero being the most stable, in kJ/mol of atoms: run P 6.2; run Q 3.8; run R 0.0.

Run P
DFT (meta-GGA SCAN) results for a PBEsol-optimized structure of Zr2BeIn.

abc: 3.181 4.040 6.046
angles: 90.00 90.00 90.00
Positions (direct):
Zr  0.000  0.000  0.000
Zr  0.500  0.500  0.257
Be  0.000  0.000  0.468
In  0.500  0.500  0.731

## Properties
Crystal system   orthorhombic

Run Q
DFT (meta-GGA SCAN) results for a PBEsol-optimized structure of Zr2BeIn.

abc: 2.996 2.996 8.125
angles: 90.00 90.00 90.00
Positions (direct):
Zr  0.000  0.000  0.209
Zr  0.000  0.000  0.791
Be  0.500  0.500  0.000
In  0.500  0.500  0.500

## Properties
Crystal system   tetragonal

Energy comparison, zero being the most stable, in kJ/mol of atoms: run P 32.1; run Q 0.0.

Run P
DFT (meta-GGA SCAN) results for a PBEsol-optimized structure of Be2Ir.

abc: 6.340 6.340 2.758
angles: 90.00 90.00 120.00
Positions (direct):
Be  0.000  0.387  0.000
Be  0.000  0.713  0.500
Be  0.287  0.287  0.500
Be  0.387  0.000  0.000
Be  0.613  0.613  0.000
Be  0.713  0.000  0.500
Ir  0.000  0.000  0.000
Ir  0.333  0.667  0.500
Ir  0.667  0.333  0.500

## Properties
Crystal system   hexagonal

Run Q
DFT (meta-GGA SCAN) results for a PBEsol-optimized structure of Be2Ir.

abc: 4.204 4.204 4.204
angles: 140.40 140.40 57.25
Positions (direct):
Be  0.165  0.165  0.000
Be  0.835  0.835  0.000
Ir  0.500  0.500  0.000

## Properties
Crystal system   tetragonal

Energy comparison, zero being the most stable, in kJ/mol of atoms: run P 27.7; run Q 0.0.

Run P
DFT (meta-GGA SCAN) results for a PBEsol-optimized structure of Be2Ir.

abc: 3.600 3.600 2.645
angles: 90.00 90.00 120.00
Positions (direct):
Be  0.333  0.667  0.000
Be  0.667  0.333  0.000
Ir  0.000  0.000  0.500

## Properties
Crystal system   hexagonal

Run Q
DFT (meta-GGA SCAN) results for a PBEsol-optimized structure of Be2Ir.

abc: 5.979 5.979 3.655
angles: 90.00 90.00 152.72
Positions (direct):
Be  0.066  0.934  0.750
Be  0.265  0.735  0.250
Be  0.735  0.265  0.750
Be  0.934  0.066  0.250
Ir  0.398  0.602  0.750
Ir  0.602  0.398  0.250

## Properties
Crystal system   orthorhombic

Energy comparison, zero being the most stable, in kJ/mol of atoms: run P 11.5; run Q 0.0.

Run P
DFT (meta-GGA SCAN) results for a PBEsol-optimized structure of MgBeIr2.

abc: 2.880 2.880 6.389
angles: 90.00 90.00 90.00
Positions (direct):
Mg  0.000  0.000  0.000
Be  0.500  0.500  0.280
Ir  0.000  0.000  0.439
Ir  0.500  0.500  0.731

## Properties
Crystal system   tetragonal

Run Q
DFT (meta-GGA SCAN) results for a PBEsol-optimized structure of MgBeIr2.

abc: 4.145 4.145 2.947
angles: 90.00 90.00 90.00
Positions (direct):
Mg  0.000  0.000  0.000
Be  0.500  0.500  0.000
Ir  0.000  0.500  0.500
Ir  0.500  0.000  0.500

## Properties
Crystal system   tetragonal

Energy comparison, zero being the most stable, in kJ/mol of atoms: run P 9.2; run Q 0.0.

Run P
DFT (meta-GGA SCAN) results for a PBEsol-optimized structure of MgBe2Ir2.

abc: 6.355 6.355 2.892
angles: 90.00 90.00 90.00
Positions (direct):
Mg  0.000  0.000  0.000
Mg  0.500  0.500  0.000
Be  0.126  0.374  0.000
Be  0.374  0.874  0.000
Be  0.626  0.126  0.000
Be  0.874  0.626  0.000
Ir  0.163  0.663  0.500
Ir  0.337  0.163  0.500
Ir  0.663  0.837  0.500
Ir  0.837  0.337  0.500

## Properties
Crystal system   tetragonal

Run Q
DFT (meta-GGA SCAN) results for a PBEsol-optimized structure of MgBe2Ir2.

abc: 6.672 6.672 2.797
angles: 90.00 90.00 90.00
Positions (direct):
Mg  0.000  0.000  0.000
Mg  0.500  0.500  0.000
Be  0.148  0.352  0.500
Be  0.352  0.852  0.500
Be  0.648  0.148  0.500
Be  0.852  0.648  0.500
Ir  0.144  0.644  0.000
Ir  0.356  0.144  0.000
Ir  0.644  0.856  0.000
Ir  0.856  0.356  0.000

## Properties
Crystal system   tetragonal

Energy comparison, zero being the most stable, in kJ/mol of atoms: run P 0.0; run Q 22.8.

Run P
DFT (meta-GGA SCAN) results for a PBEsol-optimized structure of MnBe2Ir.

abc: 4.913 4.913 4.913
angles: 105.12 105.12 118.58
Positions (direct):
Mn  0.000  0.000  0.000
Mn  0.750  0.250  0.500
Be  0.124  0.125  0.499
Be  0.375  0.876  0.001
Be  0.626  0.625  0.501
Be  0.875  0.374  0.999
Ir  0.250  0.750  0.500
Ir  0.500  0.500  0.000

## Properties
Crystal system   tetragonal

Run Q
DFT (meta-GGA SCAN) results for a PBEsol-optimized structure of MnBe2Ir.

abc: 3.878 3.878 3.878
angles: 60.00 60.00 60.00
Positions (direct):
Mn  0.000  0.000  0.000
Be  0.250  0.250  0.250
Be  0.750  0.750  0.750
Ir  0.500  0.500  0.500

## Properties
Crystal system   cubic

Energy comparison, zero being the most stable, in kJ/mol of atoms: run P 69.6; run Q 0.0.

Run P
DFT (meta-GGA SCAN) results for a PBEsol-optimized structure of BePIr2.

abc: 5.680 5.680 5.680
angles: 151.28 144.20 46.52
Positions (direct):
Be  0.000  0.000  0.000
P  0.755  0.255  0.500
Ir  0.335  0.835  0.500
Ir  0.578  0.578  0.000

## Properties
Crystal system   orthorhombic

Run Q
DFT (meta-GGA SCAN) results for a PBEsol-optimized structure of BePIr2.

abc: 4.198 4.198 4.198
angles: 60.00 60.00 60.00
Positions (direct):
Be  0.000  0.000  0.000
P  0.250  0.250  0.250
Ir  0.500  0.500  0.500
Ir  0.750  0.750  0.750

## Properties
Crystal system   cubic

Energy comparison, zero being the most stable, in kJ/mol of atoms: run P 0.0; run Q 72.9.

Run P
DFT (meta-GGA SCAN) results for a PBEsol-optimized structure of Be2IrSe.

abc: 4.205 4.205 2.837
angles: 90.00 90.00 104.22
Positions (direct):
Be  0.000  0.500  0.000
Be  0.500  0.000  0.000
Ir  0.000  0.000  0.500
Se  0.500  0.500  0.500

## Properties
Crystal system   orthorhombic

Run Q
DFT (meta-GGA SCAN) results for a PBEsol-optimized structure of Be2IrSe.

abc: 2.971 3.046 5.622
angles: 90.00 90.00 90.00
Positions (direct):
Be  0.000  0.000  0.000
Be  0.500  0.500  0.226
Ir  0.000  0.000  0.387
Se  0.500  0.500  0.791

## Properties
Crystal system   orthorhombic

Energy comparison, zero being the most stable, in kJ/mol of atoms: run P 6.9; run Q 0.0.

Run P
DFT (meta-GGA SCAN) results for a PBEsol-optimized structure of BeIrSe2.

abc: 4.378 4.378 4.378
angles: 111.33 111.33 105.82
Positions (direct):
Be  0.000  0.000  0.000
Ir  0.500  0.500  0.000
Se  0.000  0.500  0.500
Se  0.500  0.000  0.500

## Properties
Crystal system   tetragonal

Run Q
DFT (meta-GGA SCAN) results for a PBEsol-optimized structure of BeIrSe2.

abc: 7.754 7.754 7.754
angles: 23.02 23.02 23.02
Positions (direct):
Be  0.000  0.000  0.000
Ir  0.500  0.500  0.500
Se  0.396  0.396  0.396
Se  0.604  0.604  0.604

## Properties
Crystal system   trigonal

Energy comparison, zero being the most stable, in kJ/mol of atoms: run P 10.9; run Q 0.0.

Run P
DFT (meta-GGA SCAN) results for a PBEsol-optimized structure of Be2SiIr2.

abc: 6.388 6.388 2.729
angles: 90.00 90.00 90.00
Positions (direct):
Be  0.116  0.384  0.000
Be  0.384  0.884  0.000
Be  0.616  0.116  0.000
Be  0.884  0.616  0.000
Si  0.000  0.000  0.000
Si  0.500  0.500  0.000
Ir  0.180  0.680  0.500
Ir  0.320  0.180  0.500
Ir  0.680  0.820  0.500
Ir  0.820  0.320  0.500

## Properties
Crystal system   tetragonal

Run Q
DFT (meta-GGA SCAN) results for a PBEsol-optimized structure of Be2SiIr2.

abc: 6.417 6.417 2.880
angles: 90.00 90.00 90.00
Positions (direct):
Be  0.132  0.368  0.000
Be  0.368  0.868  0.000
Be  0.632  0.132  0.000
Be  0.868  0.632  0.000
Si  0.000  0.000  0.500
Si  0.500  0.500  0.500
Ir  0.162  0.662  0.500
Ir  0.338  0.162  0.500
Ir  0.662  0.838  0.500
Ir  0.838  0.338  0.500

## Properties
Crystal system   tetragonal

Energy comparison, zero being the most stable, in kJ/mol of atoms: run P 5.3; run Q 0.0.

Run P
DFT (meta-GGA SCAN) results for a PBEsol-optimized structure of SrBe2Ir.

abc: 4.380 3.796 4.784
angles: 90.00 91.93 90.00
Positions (direct):
Sr  0.000  0.000  0.000
Be  0.448  0.000  0.508
Be  0.705  0.500  0.486
Ir  0.206  0.500  0.506

## Properties
Crystal system   monoclinic

Run Q
DFT (meta-GGA SCAN) results for a PBEsol-optimized structure of SrBe2Ir.

abc: 3.938 3.938 5.680
angles: 110.13 110.13 59.87
Positions (direct):
Sr  0.000  0.000  0.000
Be  0.184  0.184  0.552
Be  0.816  0.816  0.448
Ir  0.500  0.500  0.500

## Properties
Crystal system   monoclinic

Energy comparison, zero being the most stable, in kJ/mol of atoms: run P 30.0; run Q 0.0.

Run P
DFT (meta-GGA SCAN) results for a PBEsol-optimized structure of BeTeIr2.

abc: 3.241 3.241 5.856
angles: 90.00 90.00 90.00
Positions (direct):
Be  0.000  0.000  0.000
Te  0.500  0.500  0.624
Ir  0.000  0.000  0.399
Ir  0.500  0.500  0.068

## Properties
Crystal system   tetragonal

Run Q
DFT (meta-GGA SCAN) results for a PBEsol-optimized structure of BeTeIr2.

abc: 8.584 8.584 8.584
angles: 153.09 153.09 38.42
Positions (direct):
Be  0.000  0.000  0.000
Be  0.750  0.250  0.500
Te  0.250  0.750  0.500
Te  0.500  0.500  0.000
Ir  0.091  0.625  0.966
Ir  0.375  0.341  0.466
Ir  0.659  0.125  0.034
Ir  0.875  0.909  0.534

## Properties
Crystal system   tetragonal

Energy comparison, zero being the most stable, in kJ/mol of atoms: run P 0.0; run Q 3.0.